Entry 1:
The following is a PBE-GGA calculation of CeSmAlHg after structural relaxation, from Alexandria via LeMat-Bulk.

- Energy relative to the elements: -0.303 eV/atom

a b c (Å): 7.5307 7.5307 7.5307
angles (deg): 90.00 90.00 90.00
With the nearest neighbours (Å) after each atom.
Space group F-43m (No. 216)
Asymmetric unit:
Ce (0.0000, 0.0000, 0.0000)  4 Hg 3.26, 4 Al 3.26
Sm (0.0000, 0.0000, 0.5000)  4 Al 3.26, 4 Hg 3.26
Al (0.2500, 0.2500, 0.2500)  4 Ce 3.26, 4 Sm 3.26
Hg (0.2500, 0.2500, 0.7500)  4 Sm 3.26, 4 Ce 3.26

***

Entry 2:
The following is a PBE-GGA calculation of SrCeAlHg after structural relaxation, from Alexandria via LeMat-Bulk.

- Energy relative to the elements: -0.228 eV/atom

a b c (Å): 7.7556 7.7556 7.7556
angles (deg): 90.00 90.00 90.00
With the nearest neighbours (Å) after each atom.
Space group F-43m (No. 216)
Asymmetric unit:
Sr (0.0000, 0.0000, 0.0000)  4 Hg 3.36, 4 Al 3.36
Ce (0.0000, 0.0000, 0.5000)  4 Al 3.36, 4 Hg 3.36
Al (0.2500, 0.2500, 0.7500)  4 Ce 3.36, 4 Sr 3.36
Hg (0.2500, 0.2500, 0.2500)  4 Ce 3.36, 4 Sr 3.36

***

Entry 3:
The following is a PBE-GGA calculation of CeTmAlHg after structural relaxation, from Alexandria via LeMat-Bulk.

- Energy relative to the elements: -0.317 eV/atom

a b c (Å): 7.4048 7.4048 7.4048
angles (deg): 90.00 90.00 90.00
With the nearest neighbours (Å) after each atom.
Space group F-43m (No. 216)
Asymmetric unit:
Ce (0.0000, 0.0000, 0.0000)  4 Hg 3.21, 4 Al 3.21
Tm (0.0000, 0.0000, 0.5000)  4 Hg 3.21, 4 Al 3.21
Al (0.2500, 0.2500, 0.7500)  4 Ce 3.21, 4 Tm 3.21
Hg (0.2500, 0.2500, 0.2500)  4 Ce 3.21, 4 Tm 3.21

***

Entry 4:
The following is a PBE-GGA calculation of Ce2Al3Zn4Hg after structural relaxation, from Alexandria via LeMat-Bulk.

- Energy relative to the elements: -0.309 eV/atom

a b c (Å): 4.3090 4.3090 10.7774
angles (deg): 90.00 90.00 90.00
With the nearest neighbours (Å) after each atom.
Space group P-4m2 (No. 115)
Asymmetric unit:
Ce (0.0000, 0.5000, 0.2391)  6 Al 3.27-3.54, 8 Zn 3.29-3.36, 2 Hg 3.54
Al (0.0000, 0.5000, 0.8712)  5 Zn 2.44-2.56
Al (0.5000, 0.5000, 0.5000)  4 Zn 2.66
Zn (0.0000, 0.0000, 0.0000)  4 Al 2.56
Zn (0.0000, 0.5000, 0.6448)  3 Al 2.44-2.66, 2 Hg 2.66
Zn (0.5000, 0.5000, 0.0000)  4 Al 2.56
Hg (0.0000, 0.0000, 0.5000)  4 Zn 2.66

***

Entry 5:
The following is a PBE-GGA calculation of Ce2Al4Zn3Hg after structural relaxation, from Alexandria via LeMat-Bulk.

- Energy relative to the elements: -0.330 eV/atom

a b c (Å): 4.2889 4.2889 10.8984
angles (deg): 90.00 90.00 90.00
With the nearest neighbours (Å) after each atom.
Space group P-4m2 (No. 115)
Asymmetric unit:
Ce (0.0000, 0.5000, 0.2448)  6 Zn 3.27-3.51, 8 Al 3.27-3.42, 2 Hg 3.51
Al (0.0000, 0.0000, 0.0000)  4 Zn 2.59
Al (0.0000, 0.5000, 0.6425)  3 Zn 2.45-2.65, 2 Hg 2.65
Al (0.5000, 0.5000, 0.0000)  4 Zn 2.59
Zn (0.0000, 0.5000, 0.8670)  5 Al 2.45-2.59
Zn (0.5000, 0.5000, 0.5000)  4 Al 2.65
Hg (0.0000, 0.0000, 0.5000)  4 Al 2.65

***

Entry 6:
The following is a PBE-GGA calculation of CeZrAlHg after structural relaxation, from Alexandria via LeMat-Bulk.

- Energy relative to the elements: -0.165 eV/atom

a b c (Å): 7.2276 7.2276 7.2276
angles (deg): 90.00 90.00 90.00
With the nearest neighbours (Å) after each atom.
Space group F-43m (No. 216)
Asymmetric unit:
Ce (0.0000, 0.0000, 0.0000)  4 Hg 3.13, 4 Al 3.13
Zr (0.0000, 0.0000, 0.5000)  4 Hg 3.13, 4 Al 3.13
Al (0.2500, 0.2500, 0.2500)  4 Zr 3.13, 4 Ce 3.13
Hg (0.2500, 0.2500, 0.7500)  4 Zr 3.13, 4 Ce 3.13

***

Entry 7:
The following is a PBE-GGA calculation of CeHo2Al6 after structural relaxation, from Alexandria via LeMat-Bulk.

- Energy relative to the elements: -0.460 eV/atom

a b c (Å): 7.9446 7.9446 3.4834
angles (deg): 90.00 90.00 120.00
With the nearest neighbours (Å) after each atom.
Space group P6/mmm (No. 191)
Asymmetric unit:
Ce (0.0000, 0.0000, 0.0000)  12 Al 3.18, 2 Ce 3.48
Ho (0.3333, 0.6667, 0.0000)  12 Al 3.17, 2 Ho 3.48
Al (0.0000, 0.3347, 0.5000)  3 Al 2.63-2.66

***

Entry 8:
The following is a PBE-GGA calculation of CeHo5Al3 after structural relaxation, from Alexandria via LeMat-Bulk.

- Energy relative to the elements: -0.256 eV/atom

a b c (Å): 9.0632 9.0632 6.5603
angles (deg): 90.00 90.00 120.00
With the nearest neighbours (Å) after each atom.
Space group P6_3/mcm (No. 193)
Asymmetric unit:
Ce (0.0000, 0.0000, 0.0000)  2 Ce 3.28, 6 Ho 3.40, 6 Al 3.49
Ho (0.0000, 0.3284, 0.2500)  5 Al 3.01-3.28
Ho (0.3333, 0.6667, 0.0000)  8 Ho 3.28-3.46, 6 Al 3.41
Al (0.0000, 0.3394, 0.7500)  5 Ho 3.01-3.28

***

Entry 9:
The following is a PBE-GGA calculation of Ce2HoAl9 after structural relaxation, from Alexandria via LeMat-Bulk.

- Energy relative to the elements: -0.333 eV/atom

a b c (Å): 5.5839 5.5839 26.5601
angles (deg): 90.00 90.00 120.00
With the nearest neighbours (Å) after each atom.
Space group R-3m (No. 166, hexagonal axes)
Asymmetric unit:
Ce (0.0000, 0.0000, 0.1439)  12 Al 3.23-3.28, 3 Ce 3.44
Ho (0.0000, 0.0000, 0.0000)  18 Al 3.22-3.55
Al (0.0000, 0.0000, 0.3350)  6 Al 2.70-2.74
Al (0.0000, 0.0000, 0.5000)  6 Al 2.77
Al (0.0062, 0.5031, 0.9174)  7 Al 2.70-2.84

***

Entry 10:
The following is a PBE-GGA calculation of Ce2HoAl after structural relaxation, from Alexandria via LeMat-Bulk.

- Energy relative to the elements: 0.024 eV/atom
- Distance to the lowest polymorph of the same formula: 206 meV per atom

a b c (Å): 7.5615 7.5615 7.5615
angles (deg): 90.00 90.00 90.00
With the nearest neighbours (Å) after each atom.
Space group Fm-3m (No. 225)
Asymmetric unit:
Ce (0.2500, 0.2500, 0.2500)  4 Ho 3.27, 4 Al 3.27
Ho (0.0000, 0.0000, 0.0000)  8 Ce 3.27
Al (0.0000, 0.0000, 0.5000)  8 Ce 3.27

***

Entry 11:
The following is a PBE-GGA calculation of CeHo5Al4 after structural relaxation, from Alexandria via LeMat-Bulk.

- Energy relative to the elements: -0.302 eV/atom

a b c (Å): 3.4133 3.4133 20.9271
angles (deg): 90.00 90.00 90.00
With the nearest neighbours (Å) after each atom.
Space group P4/mmm (No. 123)
Asymmetric unit:
Ce (0.0000, 0.0000, 0.0000)  4 Ce 3.41, 8 Ho 3.51
Ho (0.5000, 0.5000, 0.1218)  4 Al 3.11, 4 Ho 3.41
Ho (0.5000, 0.5000, 0.3110)  8 Al 3.12-3.14, 4 Ho 3.41
Ho (0.5000, 0.5000, 0.5000)  8 Al 3.13, 4 Ho 3.41
Al (0.0000, 0.0000, 0.2153)  8 Ho 3.11-3.14, 4 Al 3.41
Al (0.0000, 0.0000, 0.4051)  8 Ho 3.12-3.13, 4 Al 3.41

***

Entry 12:
The following is a PBE-GGA calculation of Ce2HoAl after structural relaxation, from Alexandria via LeMat-Bulk.

- Energy relative to the elements: 0.116 eV/atom
- Distance to the lowest polymorph of the same formula: 298 meV per atom

a b c (Å): 3.1782 3.1782 35.0012
angles (deg): 90.00 90.00 120.00
With the nearest neighbours (Å) after each atom.
Space group R-3m (No. 166, hexagonal axes)
Asymmetric unit:
Ce (0.0000, 0.0000, 0.0915)  6 Ce 3.18, 1 Ho 3.20, 3 Al 3.21
Ho (0.0000, 0.0000, 0.0000)  6 Ho 3.18, 2 Ce 3.20
Al (0.0000, 0.0000, 0.5000)  6 Al 3.18, 6 Ce 3.21

***

Entry 13:
The following is a PBE-GGA calculation of CeHo4Al4 after structural relaxation, from Alexandria via LeMat-Bulk.

- Energy relative to the elements: -0.130 eV/atom

a b c (Å): 8.5695 8.5695 5.9098
angles (deg): 90.00 90.00 90.00
With the nearest neighbours (Å) after each atom.
Space group P4_2/n (No. 86, origin choice 2)
Asymmetric unit:
Ce (0.2500, 0.2500, 0.2500)  4 Ho 2.94, 4 Al 3.04
Ho (0.0763, 0.8177, 0.6300)  1 Ce 2.94, 5 Al 3.05-3.27, 1 Ho 3.19
Al (0.0511, 0.1498, 0.8501)  3 Al 2.95-3.24, 1 Ce 3.04, 5 Ho 3.05-3.27

***

| no. | V (A^3/atom) |
| --- | --- |
| 1 | 26.69 |
| 2 | 29.16 |
| 3 | 25.38 |
| 4 | 20.01 |
| 5 | 20.05 |
| 6 | 23.60 |
| 7 | 21.16 |
| 8 | 25.93 |
| 9 | 19.92 |
| 10 | 27.02 |
| 11 | 24.38 |
| 12 | 25.51 |
| 13 | 24.11 |